The following is a DFT calculation (PBE-GGA) of an optimized crystal structure of YB3Pd.

Calculated values
For the total magnetic moment, the calculation gives 0.0 μB per cell. The total energy comes out at -20.0 eV per formula unit. Its formation energy is 2.345 eV per atom.

Cell: 4.533 4.533 4.533 Å, 90.00 90.00 90.00°
Atoms (fractional coordinates):
B (0.500, 0.000, 0.000)
B (0.000, 0.000, 0.500)
B (0.000, 0.500, 0.000)
Pd (0.500, 0.500, 0.500)
Y (0.000, 0.000, 0.000)